DFT (PBE) results for an optimized crystal structure of Y3HgO.

Energy relative to the elements, uncorrected = 0.071 eV/atom
VASP energy = -48.59 eV for the cell shown

a = 5.313 Å, b = 5.313 Å, c = 12.026 Å
α = 77.24°, β = 77.24°, γ = 90.00°
Fractional positions:
1 Y 0.115 0.875 0.250
2 Y 0.125 0.885 0.750
3 Y 0.125 0.366 0.750
4 Y 0.634 0.875 0.250
5 Y 0.303 0.303 0.395
6 Y 0.697 0.697 0.605
7 Hg 0.000 0.000 0.000
8 Hg 0.250 0.750 0.500
9 O 0.657 0.157 0.687
10 O 0.843 0.343 0.313

DFT (PBE) results for an optimized crystal structure of Cr3InRu.

VASP energy = -27.58 eV for the cell shown
Energy relative to the elements = 2.66 eV per atom

a = 4.582 Å, b = 4.582 Å, c = 4.582 Å
α = 90.00°, β = 90.00°, γ = 90.00°
Site moments in Bohr magnetons follow the coordinates.
Fractional positions:
1 Ru 0.500 0.500 0.500  1.05
2 Cr 0.000 0.500 0.000  0.11
3 Cr 0.000 0.000 0.500  0.05
4 Cr 0.500 0.000 0.000  0.15
5 In 0.000 0.000 0.000  -0.01